(1)
First-principles (PBE with a Hubbard U) data for an optimized crystal structure of Sr2PrFe3O9, as listed in Alexandria.

CIF file:
```
data_Sr2PrFe3O9
_cell_length_a 9.607
_cell_length_b 5.522
_cell_length_c 13.589
_cell_angle_alpha 90.00
_cell_angle_beta 90.64
_cell_angle_gamma 90.00
_symmetry_space_group_name_H-M 'C 1 2/m 1'
_symmetry_Int_Tables_number 12
loop_
_symmetry_equiv_pos_as_xyz
'x,y,z'
'-x,-y,-z'
'-x,y,-z'
'x,-y,z'
'x+1/2,y+1/2,z'
'-x+1/2,-y+1/2,-z'
'-x+1/2,y+1/2,-z'
'x+1/2,-y+1/2,z'
loop_
_atom_site_label
_atom_site_type_symbol
_atom_site_fract_x
_atom_site_fract_y
_atom_site_fract_z
Sr1 Sr 0.165 0.000 0.082
Sr2 Sr 0.167 0.000 0.584
Pr1 Pr 0.007 0.500 0.749
Fe1 Fe 0.000 0.500 0.000
Fe2 Fe 0.000 0.500 0.500
Fe3 Fe 0.167 0.000 0.334
Fe4 Fe 0.167 0.000 0.834
O1 O 0.017 0.000 0.234
O2 O 0.065 0.257 0.403
O3 O 0.099 0.253 0.923
O4 O 0.146 0.500 0.106
O5 O 0.182 0.500 0.569
O6 O 0.228 0.255 0.742
```

The mass density is 5.78 g cm⁻³. The value obtained for the total energy is -6.750 eV/atom.



(2)
First-principles (PBE with a Hubbard U) data for an optimized crystal structure of Pr2VFeO6, as listed in Alexandria.

CIF file:
```
data_Pr2VFeO6
_cell_length_a 5.553
_cell_length_b 5.825
_cell_length_c 9.448
_cell_angle_alpha 90.00
_cell_angle_beta 124.83
_cell_angle_gamma 90.00
_symmetry_space_group_name_H-M 'P 1 21/c 1'
_symmetry_Int_Tables_number 14
loop_
_symmetry_equiv_pos_as_xyz
'x,y,z'
'-x,-y,-z'
'-x,y+1/2,-z+1/2'
'x,-y+1/2,z+1/2'
loop_
_atom_site_label
_atom_site_type_symbol
_atom_site_fract_x
_atom_site_fract_y
_atom_site_fract_z
Pr1 Pr 0.228 0.064 0.248
V1 V 0.500 0.000 0.000
Fe1 Fe 0.000 0.000 0.500
O1 O 0.163 0.191 0.952
O2 O 0.257 0.711 0.950
O3 O 0.358 0.024 0.763
```

The mass density is 6.42 g cm⁻³. The value obtained for the total energy is -7.862 eV/atom.



> The highest mass density belongs to which entry?

Pr2VFeO6